# 1
Cu3Pd6Pt: relaxed, PBE.

abc: 7.2512 4.5118 9.4426
angles: 90.00 109.35 90.00
Closest atoms and distances in Å follow each position.
Space group P2_1/m (No. 11)
Asymmetric unit:
Cu 0.1005 0.2500 0.2312  8 Pd 2.66-2.75, 3 Cu 2.68-2.76, 1 Pt 2.76
Cu 0.2941 0.2500 0.0342  1 Cu 2.68, 11 Pd 2.68-2.77
Cu 0.3010 0.7500 0.3664  9 Pd 2.70-2.77, 1 Pt 2.74, 2 Cu 2.76
Pd 0.0939 0.2500 0.7344  5 Pd 2.69-2.80, 4 Cu 2.70-2.74, 3 Pt 2.74-2.76
Pd 0.1010 0.7500 0.0680  5 Pd 2.69-2.76, 7 Cu 2.70-2.73
Pd 0.2997 0.2500 0.5306  5 Pd 2.69-2.80, 4 Cu 2.71-2.74, 3 Pt 2.75-2.76
Pd 0.3008 0.7500 0.8693  7 Pd 2.67-2.78, 1 Pt 2.72, 4 Cu 2.75-2.77
Pd 0.4890 0.2500 0.3296  5 Cu 2.66-2.77, 6 Pd 2.69-2.80, 1 Pt 2.78
Pd 0.4983 0.7500 0.1638  8 Pd 2.67-2.79, 4 Cu 2.74-2.76
Pt 0.1039 0.7500 0.5685  8 Pd 2.72-2.78, 2 Cu 2.74-2.76, 2 Pt 2.78

Values from the calculation:
- DFT formation energy (meV/atom) = -52
- calculated density (Mg/m³) = 11.7
- magnetization (Bohr magnetons per cell) = 0.0


# 2
CuPd2Pt8: relaxed, PBE.

abc: 4.7689 5.5382 7.2823
angles: 67.66 89.67 89.94
Closest atoms and distances in Å follow each position.
Space group P-1 (No. 2)
Asymmetric unit:
Cu 0.0000 0.0000 0.0000  2 Pd 2.69, 8 Pt 2.73-2.77
Pd 0.3298 0.1625 0.6748  1 Cu 2.69, 11 Pt 2.73-2.89
Pt 0.1675 0.0883 0.3271  7 Pt 2.71-2.85, 1 Cu 2.73, 3 Pd 2.75-2.83
Pt 0.1685 0.5836 0.3273  7 Pt 2.71-2.85, 1 Cu 2.74, 3 Pd 2.76-2.82
Pt 0.3237 0.6604 0.6793  8 Pt 2.70-2.85, 3 Pd 2.77-2.89
Pt 0.4999 0.2529 0.0001  6 Pt 2.70-2.80, 2 Pd 2.73, 2 Cu 2.76-2.77

Values from the calculation:
- DFT formation energy (meV/atom) = 13
- calculated density (Mg/m³) = 17.1
- magnetization (Bohr magnetons per cell) = 0.0


# 3
Cu4PdPt2: relaxed, PBE.

abc: 4.6483 10.1469 4.2571
angles: 90.00 90.00 90.00
Closest atoms and distances in Å follow each position.
Space group Pbam (No. 55)
Asymmetric unit:
Cu 0.0256 0.1868 0.0000  4 Cu 2.58-2.65, 4 Pt 2.60-2.67
Cu 0.2109 0.0698 0.5000  3 Cu 2.42-2.58, 4 Pt 2.54-2.60, 2 Pd 2.62
Pd 0.0000 0.5000 0.0000  6 Cu 2.62-2.91
Pt 0.2036 0.3229 0.5000  8 Cu 2.54-2.67, 2 Pt 2.76

Values from the calculation:
- DFT formation energy (meV/atom) = -18
- calculated density (Mg/m³) = 12.4
- magnetization (Bohr magnetons per cell) = 0.0


# 4
Cu2Pd6Pt3: relaxed, PBE.

abc: 7.2889 4.6633 19.6972
angles: 90.00 95.21 90.00
Closest atoms and distances in Å follow each position.
Space group C2/c (No. 15)
Asymmetric unit:
Cu 0.1825 0.0110 0.0218  7 Pd 2.59-2.75, 3 Cu 2.61-2.79
Pd 0.0473 0.4803 0.5653  5 Pd 2.61-2.82, 4 Cu 2.67-2.74, 1 Pt 2.75
Pd 0.0936 0.0214 0.3916  2 Cu 2.59-2.75, 6 Pd 2.68-2.74, 2 Pt 2.81-2.85
Pd 0.2317 0.4773 0.8447  1 Cu 2.65, 4 Pd 2.71-2.82, 5 Pt 2.73-2.82
Pt 0.0000 0.0237 0.2500  6 Pt 2.72-2.73, 4 Pd 2.81-2.82
Pt 0.1348 0.4765 0.7039  4 Pt 2.72-2.79, 6 Pd 2.73-2.85

Values from the calculation:
- DFT formation energy (meV/atom) = 11
- calculated density (Mg/m³) = 13.5
- magnetization (Bohr magnetons per cell) = 0.0


# 5
Cu2Pd3Pt5: relaxed, PBE.

abc: 8.6554 14.7881 5.3684
angles: 90.00 90.00 90.00
Closest atoms and distances in Å follow each position.
Space group Ibam (No. 72)
Asymmetric unit:
Cu 0.2381 0.0646 0.0000  3 Pd 2.64-2.69, 3 Pt 2.69-2.80
Pd 0.0000 0.0000 0.2500  2 Pt 2.63, 4 Cu 2.64, 2 Pd 2.68
Pd 0.2478 0.2538 0.5000  6 Pt 2.57-2.77, 2 Pd 2.69, 1 Cu 2.69
Pt 0.0000 0.1780 0.2500  5 Pd 2.63-2.77, 4 Pt 2.68-2.84
Pt 0.0000 0.5000 0.2500  6 Pt 2.64-2.68, 4 Cu 2.80
Pt 0.0095 0.3468 0.0000  2 Pd 2.57-2.62, 6 Pt 2.64-2.84, 1 Cu 2.69

Values from the calculation:
- DFT formation energy (meV/atom) = 188
- calculated density (Mg/m³) = 13.7
- magnetization (Bohr magnetons per cell) = 0.0


# 6
Cu16Pd7Pt6: relaxed, PBE.

abc: 8.4339 8.4339 11.9531
angles: 90.00 90.00 90.00
Closest atoms and distances in Å follow each position.
Space group I4/mmm (No. 139)
Asymmetric unit:
Cu 0.0000 0.2338 0.1169  3 Pt 2.57, 3 Pd 2.64, 3 Cu 2.79
Cu 0.0000 0.2606 0.3697  4 Pd 2.55-2.69, 3 Pt 2.59
Pd 0.0000 0.0000 0.5000  8 Cu 2.69, 6 Pt 2.92-2.93
Pd 0.0000 0.5000 0.0000  8 Cu 2.55-2.64
Pd 0.2500 0.2500 0.2500  8 Cu 2.55-2.64
Pt 0.0000 0.0000 0.2552  8 Cu 2.57-2.59
Pt 0.2447 0.2447 0.5000  8 Cu 2.57-2.59

Values from the calculation:
- DFT formation energy (meV/atom) = -24
- calculated density (Mg/m³) = 11.5
- magnetization (Bohr magnetons per cell) = 0.0


# 7
Cu10PdPt4: relaxed, PBE.

abc: 7.8171 7.8171 7.2634
angles: 90.00 90.00 90.00
Closest atoms and distances in Å follow each position.
Space group I4/m (No. 87)
Asymmetric unit:
Cu 0.0000 0.5000 0.2500  4 Cu 2.46, 4 Pt 2.50
Cu 0.0876 0.7943 0.1763  4 Cu 2.46-2.56, 3 Pt 2.54-2.73
Pd 0.0000 0.0000 0.5000  4 Pt 2.75, 8 Cu 2.93
Pt 0.1339 0.6751 0.5000  8 Cu 2.50-2.73, 1 Pd 2.75

Values from the calculation:
- DFT formation energy (meV/atom) = 181
- calculated density (Mg/m³) = 11.4
- magnetization (Bohr magnetons per cell) = 0.0


# 8
Cu2PdPt2: relaxed, PBE.

abc: 7.3288 7.3288 2.7776
angles: 90.00 90.00 90.00
Closest atoms and distances in Å follow each position.
Space group P4/mbm (No. 127)
Asymmetric unit:
Cu 0.1652 0.3348 0.0000  6 Pt 2.51-2.60, 2 Cu 2.78
Pd 0.0000 0.0000 0.5000  2 Pd 2.78, 4 Pt 2.86, 8 Cu 3.07
Pt 0.1334 0.6334 0.5000  6 Cu 2.51-2.60, 3 Pt 2.76-2.78

Values from the calculation:
- DFT formation energy (meV/atom) = 29
- calculated density (Mg/m³) = 13.9
- magnetization (Bohr magnetons per cell) = 0.0